[1]
Material: ErLuRh2
Method: DFT, GGA-PBE
State: relaxed

```
ErLuRh2
1.0
3.454 0.000 0.000
0.000 4.712 0.000
0.000 0.000 4.712
Lu Rh Er
1 2 1
Direct
0.500 0.500 0.500
0.000 0.000 0.500
0.000 0.500 0.000
0.500 0.000 0.000
```

* formation energy from the elements: -0.973 eV per atom



[2]
Material: ErLuScRh
Method: DFT, GGA-PBE
State: relaxed

```
ErLuScRh
1.0
-4.946 -0.620 0.488
-2.365 -3.494 -2.700
-1.801 -4.102 2.240
Rh Sc Er Lu
1 1 1 1
Direct
0.500 0.500 0.500
0.000 0.000 0.000
0.750 0.750 0.750
0.250 0.250 0.250
```

* formation energy from the elements: -0.255 eV per atom



[3]
Material: ErLuTcRh
Method: DFT, GGA-PBE
State: relaxed

```
ErLuTcRh
1.0
-2.387 -4.037 0.867
2.290 -4.183 -0.054
0.728 -2.373 4.073
Tc Rh Er Lu
1 1 1 1
Direct
0.500 0.500 0.500
0.000 0.000 0.000
0.750 0.750 0.750
0.250 0.250 0.250
```

* formation energy from the elements: -0.417 eV per atom



[4]
Material: Er2LuRu
Method: DFT, GGA-PBE
State: relaxed

```
Er2LuRu
1.0
-0.916 3.361 -0.033
-1.581 1.401 2.769
7.959 4.022 4.700
Lu Ru Er
1 1 2
Direct
0.500 0.500 0.500
0.000 0.000 0.000
0.269 0.269 0.194
0.731 0.731 0.806
```

* formation energy from the elements: -0.022 eV per atom
* excess energy over the best structure of this formula in the dataset: 203 meV per atom



[5]
Material: Er2LuRu
Method: DFT, GGA-PBE
State: relaxed

```
Er2LuRu
1.0
-2.097 2.406 1.183
-2.040 -2.407 1.278
4.440 0.199 7.463
Er Lu Ru
2 1 1
Direct
0.000 0.000 0.188
0.000 0.000 0.812
0.500 0.500 0.500
0.500 0.500 0.000
```

* formation energy from the elements: -0.225 eV per atom
* excess energy over the best structure of this formula in the dataset: 0 meV per atom



[6]
Material: ErLu3Ru
Method: DFT, GGA-PBE
State: relaxed

```
ErLu3Ru
1.0
5.267 0.000 0.000
0.000 5.267 0.000
0.000 0.000 5.267
Lu Ru Er
3 1 1
Direct
0.000 0.500 0.000
0.000 0.000 0.500
0.500 0.000 0.000
0.000 0.000 0.000
0.500 0.500 0.500
```

* formation energy from the elements: -0.100 eV per atom



[7]
Material: ErLu2Ru
Method: DFT, GGA-PBE
State: relaxed

```
ErLu2Ru
1.0
3.375 0.000 0.000
0.000 3.375 0.000
0.000 0.000 8.633
Lu Ru Er
2 1 1
Direct
0.000 0.000 0.815
0.000 0.000 0.185
0.500 0.500 0.000
0.500 0.500 0.500
```

* formation energy from the elements: -0.289 eV per atom



[8]
Material: ErLuRu4
Method: DFT, GGA-PBE
State: relaxed

```
ErLuRu4
1.0
-4.638 -2.557 0.056
-0.442 -4.629 2.536
-2.801 -0.306 4.484
Ru Er Lu
4 1 1
Direct
0.625 0.625 0.125
0.125 0.625 0.625
0.625 0.625 0.625
0.625 0.125 0.625
0.250 0.250 0.250
0.000 0.000 0.000
```

* formation energy from the elements: -0.349 eV per atom



[9]
Material: ErLuScRu
Method: DFT, GGA-PBE
State: relaxed

```
ErLuScRu
1.0
4.986 0.000 0.000
2.493 4.318 0.000
2.493 1.439 4.071
Sc Ru Er Lu
1 1 1 1
Direct
0.750 0.750 0.750
0.250 0.250 0.250
0.500 0.500 0.500
0.000 0.000 0.000
```

* formation energy from the elements: -0.090 eV per atom



[10]
Material: ErLuSnRu
Method: DFT, GGA-PBE
State: relaxed

```
ErLuSnRu
1.0
-2.957 1.622 3.687
-2.389 -3.282 2.913
1.393 -0.590 4.762
Sn Lu Er Ru
1 1 1 1
Direct
0.000 0.000 0.000
0.750 0.750 0.750
0.250 0.250 0.250
0.500 0.500 0.500
```

* formation energy from the elements: -0.443 eV per atom



[11]
Material: ErLuTlRu
Method: DFT, GGA-PBE
State: relaxed

```
ErLuTlRu
1.0
-0.315 4.980 -0.438
-2.876 2.024 -3.568
-4.241 2.361 1.241
Lu Ru Tl Er
1 1 1 1
Direct
0.000 0.000 0.000
0.750 0.750 0.750
0.250 0.250 0.250
0.500 0.500 0.500
```

* formation energy from the elements: -0.279 eV per atom



[12]
Material: Er5Lu3S12
Method: DFT, GGA-PBE
State: relaxed

```
Er5Lu3S12
1.0
-5.378 10.789 6.585
-7.970 -11.011 1.981
12.593 -2.526 4.871
S Lu Er
48 12 20
Direct
0.949 0.369 0.274
0.675 0.449 0.580
0.080 0.175 0.449
0.131 0.405 0.080
0.095 0.920 0.369
0.369 0.420 0.095
0.325 0.551 0.420
0.726 0.131 0.051
0.551 0.325 0.920
0.825 0.905 0.274
0.920 0.825 0.551
0.774 0.325 0.905
0.631 0.580 0.905
0.175 0.080 0.949
0.869 0.274 0.449
0.595 0.726 0.675
0.675 0.226 0.595
0.869 0.595 0.920
0.095 0.175 0.226
0.274 0.405 0.825
0.325 0.774 0.405
0.131 0.726 0.551
0.051 0.420 0.825
0.825 0.920 0.051
0.051 0.631 0.726
0.420 0.051 0.325
0.449 0.675 0.080
0.274 0.869 0.949
0.595 0.869 0.420
0.405 0.131 0.580
0.226 0.675 0.095
0.905 0.825 0.774
0.631 0.051 0.226
0.449 0.774 0.869
0.080 0.905 0.131
0.580 0.631 0.405
0.420 0.369 0.595
0.369 0.949 0.774
0.905 0.080 0.631
0.920 0.095 0.869
0.175 0.095 0.726
0.551 0.226 0.131
0.226 0.551 0.631
0.580 0.949 0.675
0.726 0.595 0.175
0.949 0.580 0.175
0.405 0.274 0.325
0.774 0.449 0.369
0.125 0.250 0.875
0.625 0.250 0.375
0.750 0.375 0.125
0.625 0.375 0.750
0.875 0.125 0.250
0.875 0.750 0.125
0.125 0.875 0.750
0.250 0.125 0.375
0.375 0.625 0.250
0.375 0.750 0.625
0.750 0.875 0.625
0.250 0.625 0.875
0.875 0.625 0.750
0.500 0.500 0.000
0.250 0.375 0.625
0.375 0.250 0.125
0.625 0.875 0.250
0.500 0.000 0.500
0.000 0.500 0.000
0.875 0.250 0.625
0.000 0.000 0.000
0.000 0.000 0.500
0.250 0.875 0.125
0.750 0.125 0.875
0.500 0.500 0.500
0.125 0.375 0.250
0.500 0.000 0.000
0.750 0.625 0.375
0.625 0.750 0.875
0.375 0.125 0.750
0.000 0.500 0.500
0.125 0.750 0.375
```

* formation energy from raw total energies: -1805 meV per atom



[13]
Material: ErLuS2
Method: DFT, GGA-PBE
State: relaxed

```
ErLuS2
1.0
-0.955 1.455 3.419
0.585 -2.052 3.189
5.596 2.276 2.747
S Lu Er
2 1 1
Direct
0.748 0.748 0.756
0.252 0.252 0.244
0.000 0.000 0.000
0.500 0.500 0.500
```

* formation energy from raw total energies: -1916 meV per atom